[1]
The following is a DFT calculation (PBE-GGA) of crystalline Rb2TlIn3Pb4 at its relaxed geometry. Values from VASP.

Geometry as Quantum ESPRESSO input:
```
&SYSTEM
  ibrav = 0, nat = 10, ntyp = 4
/
ATOMIC_SPECIES
Rb 85.47 Rb.upf
Tl 204.38 Tl.upf
In 114.82 In.upf
Pb 207.20 Pb.upf
ATOMIC_POSITIONS angstrom
Rb 2.6823 0.0000 3.1486
Rb 0.0000 2.6823 9.3903
Tl 2.6823 2.6823 6.2694
In 0.0000 0.0000 6.2694
In 2.6823 0.0000 10.9284
In 0.0000 2.6823 1.6104
Pb 2.6823 2.6823 0.0000
Pb 0.0000 0.0000 0.0000
Pb 2.6823 0.0000 7.9205
Pb 0.0000 2.6823 4.6183
CELL_PARAMETERS angstrom
5.3647 0.0000 0.0000
0.0000 5.3647 0.0000
0.0000 0.0000 12.5388
```

Results
Energy of formation   -0.09 eV per atom
Calculated volume   360.9 Å³/cell
Density of states at the Fermi level   3.38 states/eV per cell
Space-group type   No. 115

[2]
The following is a DFT calculation (PBE-GGA) of crystalline SmCdSn at its relaxed geometry. Values from VASP.

Geometry as Quantum ESPRESSO input:
```
&SYSTEM
  ibrav = 0, nat = 3, ntyp = 3
/
ATOMIC_SPECIES
Sn 118.71 Sn.upf
Sm 150.36 Sm.upf
Cd 112.41 Cd.upf
ATOMIC_POSITIONS angstrom
Sn 0.3846 -1.1793 2.5939
Sm -1.5600 1.5622 2.7200
Cd -1.5276 0.7356 5.9282
CELL_PARAMETERS angstrom
-1.1014 -3.2203 1.2178
3.0434 -0.3128 1.9251
-3.7034 4.5028 3.1927
```

Results
Energy of formation   -0.32 eV per atom
Calculated volume   80.2 Å³/cell
Density of states at the Fermi level   2.11 states/eV per cell
Space-group type   No. 107

[3]
The following is a DFT calculation (PBE-GGA) of crystalline CoPbS2 at its relaxed geometry. Values from VASP.

Geometry as Quantum ESPRESSO input:
```
&SYSTEM
  ibrav = 0, nat = 8, ntyp = 3
/
ATOMIC_SPECIES
Pb 207.20 Pb.upf
S 32.06 S.upf
Co 58.93 Co.upf
ATOMIC_POSITIONS angstrom
Pb 0.0000 0.0000 0.0000
Pb -5.9077 -0.3681 -5.1571
S -3.8606 0.1438 -2.9267
S -1.2176 -1.5689 -5.3858
S -4.1445 -2.4100 -6.6229
S -6.6821 -1.9451 -9.6742
Co -2.2041 0.0399 -4.3202
Co -2.0448 -2.5220 -7.1477
CELL_PARAMETERS angstrom
-6.0670 2.1938 -2.3296
1.6588 -2.1140 -6.3109
-3.5443 -2.9699 -3.6643
```

Results
Calculated volume   158.1 Å³/cell
Energy relative to the elements, uncorrected   -112 kJ/mol of formula units
Density of states at the Fermi level   3.25 states/eV per cell
Offset from the most stable computed form   46 meV/atom
Space-group type   No. 122

[4]
The following is a DFT calculation (PBE-GGA) of crystalline Er5GaAg4 at its relaxed geometry. Values from VASP.

Geometry as Quantum ESPRESSO input:
```
&SYSTEM
  ibrav = 0, nat = 10, ntyp = 3
/
ATOMIC_SPECIES
Er 167.26 Er.upf
Ga 69.72 Ga.upf
Ag 107.87 Ag.upf
ATOMIC_POSITIONS angstrom
Er -2.1479 0.1673 2.1958
Er -1.5718 -0.5262 5.7331
Er -0.9934 -1.2224 9.2844
Er -0.4150 -1.9187 12.8357
Er 0.1611 -2.6121 16.3730
Ga 0.0000 0.0000 0.0000
Ag 0.5643 -0.6793 3.4648
Ag 1.1454 -1.3787 7.0324
Ag 1.7183 -2.0683 10.5499
Ag 2.2993 -2.7678 14.1176
CELL_PARAMETERS angstrom
-1.8459 2.9290 0.8749
-3.0044 -1.9268 0.1116
2.8636 -3.4470 17.5823
```

Results
Energy of formation   -0.38 eV per atom
Calculated volume   231.4 Å³/cell
Density of states at the Fermi level   6.04 states/eV per cell
Space-group type   No. 123

[5]
The following is a DFT calculation (PBE-GGA) of crystalline NaLa2C at its relaxed geometry. Values from VASP.

Geometry as Quantum ESPRESSO input:
```
&SYSTEM
  ibrav = 0, nat = 4, ntyp = 3
/
ATOMIC_SPECIES
Na 22.99 Na.upf
La 138.91 La.upf
C 12.01 C.upf
ATOMIC_POSITIONS angstrom
Na 0.0000 0.0000 0.0000
La 0.0000 2.1844 3.5693
La 1.8606 1.1593 6.4780
C 0.0000 0.0611 5.0505
CELL_PARAMETERS angstrom
3.7212 0.0000 0.0000
-1.8606 3.2214 -0.0537
0.0000 0.1223 10.1011
```

Results
Energy of formation   -0.09 eV per atom
Calculated volume   121.1 Å³/cell
Density of states at the Fermi level   3.21 states/eV per cell
Space-group type   No. 12

[6]
The following is a DFT calculation (PBE-GGA) of crystalline TaCr4 at its relaxed geometry. Values from VASP.

Geometry as Quantum ESPRESSO input:
```
&SYSTEM
  ibrav = 0, nat = 5, ntyp = 2
/
ATOMIC_SPECIES
Cr 52.00 Cr.upf
Ta 180.95 Ta.upf
ATOMIC_POSITIONS angstrom
Cr 0.0000 0.0000 0.0000
Cr -1.1981 -3.1071 0.1048
Cr 1.1012 -2.2839 -2.1615
Cr -2.0005 -1.0968 -2.4281
Ta -1.0487 -3.2439 -2.2424
CELL_PARAMETERS angstrom
-4.2998 -1.9201 -0.1618
0.2988 -0.2736 -4.6944
1.9036 -4.2941 0.3714
```

Results
Energy of formation   1.87 eV per atom
Calculated volume   104.6 Å³/cell
Density of states at the Fermi level   11.84 states/eV per cell
Offset from the most stable computed form   1426 meV/atom
Space-group type   No. 221

> What is the formula in the first record?

Rb2TlIn3Pb4

Copy entry 6 word for word.
The following is a DFT calculation (PBE-GGA) of crystalline TaCr4 at its relaxed geometry. Values from VASP.

Geometry as Quantum ESPRESSO input:
```
&SYSTEM
  ibrav = 0, nat = 5, ntyp = 2
/
ATOMIC_SPECIES
Cr 52.00 Cr.upf
Ta 180.95 Ta.upf
ATOMIC_POSITIONS angstrom
Cr 0.0000 0.0000 0.0000
Cr -1.1981 -3.1071 0.1048
Cr 1.1012 -2.2839 -2.1615
Cr -2.0005 -1.0968 -2.4281
Ta -1.0487 -3.2439 -2.2424
CELL_PARAMETERS angstrom
-4.2998 -1.9201 -0.1618
0.2988 -0.2736 -4.6944
1.9036 -4.2941 0.3714
```

Results
Energy of formation   1.87 eV per atom
Calculated volume   104.6 Å³/cell
Density of states at the Fermi level   11.84 states/eV per cell
Offset from the most stable computed form   1426 meV/atom
Space-group type   No. 221

What did the second record say?
The following is a DFT calculation (PBE-GGA) of crystalline SmCdSn at its relaxed geometry. Values from VASP.

Geometry as Quantum ESPRESSO input:
```
&SYSTEM
  ibrav = 0, nat = 3, ntyp = 3
/
ATOMIC_SPECIES
Sn 118.71 Sn.upf
Sm 150.36 Sm.upf
Cd 112.41 Cd.upf
ATOMIC_POSITIONS angstrom
Sn 0.3846 -1.1793 2.5939
Sm -1.5600 1.5622 2.7200
Cd -1.5276 0.7356 5.9282
CELL_PARAMETERS angstrom
-1.1014 -3.2203 1.2178
3.0434 -0.3128 1.9251
-3.7034 4.5028 3.1927
```

Results
Energy of formation   -0.32 eV per atom
Calculated volume   80.2 Å³/cell
Density of states at the Fermi level   2.11 states/eV per cell
Space-group type   No. 107